First-principles (PBE) data for LiSi2As after structural relaxation, as listed in the Alexandria database.

Unit cell a=4.0464 b=4.0464 c=7.7930 alpha=90.00 beta=90.00 gamma=90.00
With the nearest neighbours (Å) after each atom.
Space group I-4m2 (No. 119)
Unique sites:
Li: 0.0000 0.0000 0.0000 x2  4 As 2.81, 8 Si 2.81-2.86
Si: 0.0000 0.0000 0.5000 x2  4 As 2.81, 4 Si 2.81, 4 Li 2.86
Si: 0.0000 0.5000 0.7500 x2  4 Li 2.81, 4 Si 2.81, 4 As 2.86
As: 0.0000 0.5000 0.2500 x2  4 Li 2.81, 8 Si 2.81-2.86

Calculated values
For the density, the calculation gives 3.59 g/cm3. The formation energy without anion corrections is 0.71 eV/f.u.